Density functional theory data (PBE) for a geometry-optimized TaMoAs2 structure.

abc: 3.3514 3.3514 5.8970
angles: 90.00 90.00 90.00
Atoms (fractional coordinates):
Mo 0.0000 0.0000 0.4690
Ta 0.5000 0.5000 0.7811
As 0.0000 0.0000 0.9674
As 0.5000 0.5000 0.2825

- Volume: 16.558 A^3/atom
- ΔE_f: -314 meV per atom
- M_tot: 0.0000 μB per atom

---

Density functional theory data (PBE) for a geometry-optimized TaMoAs2 structure.

abc: 3.9691 3.9691 9.5250
angles: 77.97 77.97 90.00
Atoms (fractional coordinates):
As 0.6148 0.1250 0.2500
Ta 0.7500 0.2500 0.5000
Mo 0.5000 0.5000 0.0000
As 0.1352 0.6250 0.2500
As 0.3750 0.3852 0.7500
Mo 0.2500 0.7500 0.5000
As 0.8750 0.8648 0.7500
Ta 0.0000 0.0000 0.0000

- Volume: 17.924 A^3/atom
- ΔE_f: 279 meV per atom
- M_tot: 0.0000 μB per atom

---

Density functional theory data (PBE) for a geometry-optimized TaMoAs structure.

abc: 4.9942 4.9942 4.9942
angles: 140.91 140.91 56.47
Atoms (fractional coordinates):
Ta 0.6665 0.6665 0.0000
Mo 0.3362 0.3362 0.0000
As 0.9973 0.9973 0.0000

- Volume: 16.374 A^3/atom
- ΔE_f: -14 meV per atom
- M_tot: 0.0000 μB per atom

---

no.,electronic total energy (eV per cell)
1,-33.2
2,-61.7
3,-27.4